No. 1
Computed, not measured: crystalline TlCdBiSe3 at its relaxed geometry at the PBE-GGA level of DFT.

Lattice parameters (Å, degrees): 7.5979 7.5979 11.3512 90.00 90.00 146.90
Closest atoms and distances in Å follow each position.
Fractional positions:
Tl: 0.2551 0.7449 0.7500  6 Se 3.33-3.58
Tl: 0.7449 0.2551 0.2500  6 Se 3.33-3.58
Se: 0.3632 0.6368 0.0498  1 Cd 2.64
Se: 0.3632 0.6368 0.4502  1 Cd 2.64
Se: 0.9289 0.0711 0.7500  2 Cd 2.75, 2 Bi 3.02
Se: 0.6368 0.3632 0.5498  1 Cd 2.64
Se: 0.0711 0.9289 0.2500  2 Cd 2.75, 2 Bi 3.02
Se: 0.6368 0.3632 0.9502  1 Cd 2.64
Cd: 0.5449 0.4551 0.7500  4 Se 2.64-2.75
Cd: 0.4551 0.5449 0.2500  4 Se 2.64-2.75
Bi: 0.0000 0.0000 0.0000  6 Se 3.00-3.02
Bi: 0.0000 0.0000 0.5000  6 Se 3.00-3.02

* total energy: -3.40 eV/atom
* space-group type: Cmcm (63)

No. 2
Computed, not measured: crystalline Nd2GdPdPt2Pb3 at its relaxed geometry at the PBE-GGA level of DFT.

Lattice parameters (Å, degrees): 4.0650 7.8585 7.8585 119.80 90.00 90.00
Closest atoms and distances in Å follow each position.
Fractional positions:
Nd: 0.0000 0.9997 0.5908  4 Pt 3.15, 1 Pd 3.23, 6 Pb 3.31-3.48
Nd: 0.0000 0.5908 0.9997  4 Pt 3.15, 1 Pd 3.23, 6 Pb 3.31-3.48
Pt: 0.5000 0.3347 0.6610  3 Pb 2.94-3.01, 2 Gd 3.09, 4 Nd 3.15
Pt: 0.5000 0.6610 0.3347  3 Pb 2.94-3.01, 2 Gd 3.09, 4 Nd 3.15
Pb: 0.5000 0.2581 0.0005  2 Pd 2.86, 2 Pt 2.94-3.01
Pb: 0.5000 0.7426 0.7426  2 Pd 2.89, 2 Pt 2.94
Pb: 0.5000 0.0005 0.2581  2 Pd 2.86, 2 Pt 2.94-3.01
Gd: 0.0000 0.4085 0.4085  4 Pt 3.09, 1 Pd 3.19, 2 Pb 3.33
Pd: 0.0000 0.0041 0.0041  6 Pb 2.86-2.89, 1 Gd 3.19

* M_tot: 0.00 Bohr magnetons per cell
* total energy: -5.55 eV/atom
* space-group type: Amm2 (38)

No. 3
Computed, not measured: crystalline NaSrGa4Pt2 at its relaxed geometry at the PBE-GGA level of DFT.

Lattice parameters (Å, degrees): 7.0421 5.6247 5.6247 45.64 90.00 90.00
Closest atoms and distances in Å follow each position.
Fractional positions:
Sr: 0.5000 0.9272 0.9272  3 Pt 2.95-3.12, 6 Ga 3.19-3.30
Ga: 0.1871 0.3544 0.3544  3 Pt 2.63-2.65, 1 Ga 2.64
Ga: 0.8129 0.3544 0.3544  3 Pt 2.63-2.65, 1 Ga 2.64
Ga: 0.7061 0.6414 0.6414  3 Pt 2.60-2.72, 1 Ga 2.90
Ga: 0.2939 0.6414 0.6414  3 Pt 2.60-2.72, 1 Ga 2.90
Pt: 0.5000 0.2115 0.2115  6 Ga 2.65-2.72, 1 Sr 2.95
Pt: 0.0000 0.7931 0.7931  6 Ga 2.60-2.63
Na: 0.0000 0.0766 0.0766  3 Pt 2.94-3.13, 6 Ga 3.08-3.17

* M_tot: 0.00 Bohr magnetons per cell
* total energy: -3.99 eV/atom
* space-group type: Amm2 (38)

No. 4
Computed, not measured: crystalline Pa3O2 at its relaxed geometry at the PBE-GGA level of DFT.

Lattice parameters (Å, degrees): 6.1557 6.1557 6.6636 117.51 62.49 120.00
Closest atoms and distances in Å follow each position.
Fractional positions:
O: 0.1637 0.8363 0.5090  6 Pa 2.45-2.53
O: 0.3363 0.6637 0.9910  6 Pa 2.45-2.53
O: 0.6637 0.3363 0.0090  6 Pa 2.45-2.53
O: 0.8363 0.1637 0.4910  6 Pa 2.45-2.53
Pa: 0.7500 0.9136 0.7500  4 O 2.45-2.53
Pa: 0.9136 0.4136 0.2500  4 O 2.45-2.53
Pa: 0.2500 0.0864 0.2500  4 O 2.45-2.53
Pa: 0.5864 0.7500 0.2500  4 O 2.45-2.53
Pa: 0.4136 0.2500 0.7500  4 O 2.45-2.53
Pa: 0.0864 0.5864 0.7500  4 O 2.45-2.53

* M_tot: 0.10 Bohr magnetons per cell
* total energy: -8.22 eV/atom
* space-group type: R-3c (167)

No. 5
Computed, not measured: crystalline ErTmAg2 at its relaxed geometry at the PBE-GGA level of DFT.

Lattice parameters (Å, degrees): 4.7392 5.7471 5.7471 36.98 90.00 90.00
Closest atoms and distances in Å follow each position.
Fractional positions:
Ag: 0.0000 0.9180 0.9180  2 Ag 2.97, 3 Er 2.99-3.06, 4 Tm 3.06
Ag: 0.5000 0.0818 0.0818  2 Ag 2.97, 3 Tm 3.00-3.06, 4 Er 3.06
Er: 0.0000 0.6436 0.6436  7 Ag 2.99-3.06
Tm: 0.5000 0.3566 0.3566  7 Ag 3.00-3.06

* M_tot: 0.00 Bohr magnetons per cell
* total energy: -3.98 eV/atom
* space-group type: Amm2 (38)
* formation energy from the elements: -0.306 eV per atom

No. 6
Computed, not measured: crystalline ErTm2Hg at its relaxed geometry at the PBE-GGA level of DFT.

Lattice parameters (Å, degrees): 6.7823 6.7823 5.3472 90.00 90.00 120.07
Closest atoms and distances in Å follow each position.
Fractional positions:
Tm: 0.8418 0.6718 0.7500  4 Hg 3.28-3.41, 4 Tm 3.30-3.48, 4 Er 3.30-3.49
Tm: 0.3282 0.1582 0.7500  4 Hg 3.28-3.41, 4 Tm 3.30-3.48, 4 Er 3.30-3.49
Tm: 0.6718 0.8418 0.2500  4 Hg 3.28-3.41, 4 Tm 3.30-3.48, 4 Er 3.30-3.49
Tm: 0.1582 0.3282 0.2500  4 Hg 3.28-3.41, 4 Tm 3.30-3.48, 4 Er 3.30-3.49
Er: 0.3280 0.6720 0.7500  4 Hg 3.28-3.39, 8 Tm 3.30-3.49
Er: 0.6720 0.3280 0.2500  4 Hg 3.28-3.39, 8 Tm 3.30-3.49
Hg: 0.8344 0.1656 0.7500  8 Tm 3.28-3.41, 4 Er 3.28-3.39
Hg: 0.1656 0.8344 0.2500  8 Tm 3.28-3.41, 4 Er 3.28-3.39

* M_tot: 0.00 Bohr magnetons per cell
* total energy: -3.62 eV/atom
* space-group type: Cmcm (63)
* formation energy from the elements: -0.166 eV per atom